No. 1
{
  "formula": "La4Ho3Er2",
  "functional": "PBE",
  "state": "relaxed",
  "lattice": [[-2.993, -2.522, -3.335], [-0.788, -6.038, 5.272], [-4.157, 6.320, 2.916]],
  "species": ["La", "La", "Er", "Ho", "Er", "Ho", "La", "La", "Ho"],
  "fractional_positions": [[0.554, 0.329, 0.107], [0.776, 0.668, 0.553], [0.668, 0.000, 0.336], [0.000, 0.000, 0.000], [0.332, 0.000, 0.664], [0.888, 0.328, 0.776], [0.224, 0.332, 0.447], [0.446, 0.671, 0.893], [0.112, 0.672, 0.224]],
  "formation_enthalpy_0k_ev_per_atom": 0.03,
  "e_above_lowest_polymorph_mev_per_atom": 0
}

No. 2
{
  "formula": "La5Ho2Er2",
  "functional": "PBE",
  "state": "relaxed",
  "lattice": [[5.195, -0.001, 0.000], [-2.601, 8.043, -4.504], [0.002, -1.282, 8.090]],
  "species": ["La", "La", "Ho", "La", "Er", "Ho", "Er", "La", "La"],
  "fractional_positions": [[0.113, 0.227, 0.562], [0.000, 0.000, 0.000], [0.669, 0.338, 0.341], [0.557, 0.115, 0.783], [0.221, 0.443, 0.115], [0.331, 0.662, 0.659], [0.779, 0.557, 0.885], [0.887, 0.773, 0.438], [0.443, 0.885, 0.217]],
  "formation_enthalpy_0k_ev_per_atom": 0.03,
  "e_above_lowest_polymorph_mev_per_atom": 0
}